No. 1
A relaxed CaTeN2 crystal, computed with PBE.

Computed properties:
Space group ... R-3m
E_form (uncorrected) ... 709 meV per atom

Cell: 7.130 7.130 7.130 Å, 28.18 28.18 28.18°
Site moments in Bohr magnetons follow the coordinates.
Sites, in units of the cell vectors:
Ca  0.000  0.000  0.000  0.06
Te  0.500  0.500  0.500  0.01
N  0.888  0.888  0.888  0.03
N  0.112  0.112  0.112  0.03

No. 2
A relaxed Tb2Zn2AgPt5 crystal, computed with PBE.

Computed properties:
Space group ... P4/mbm

Cell: 3.864 9.573 9.573 Å, 90.00 90.00 90.00°
Sites, in units of the cell vectors:
Tb  0.000  0.677  0.177
Tb  0.000  0.323  0.823
Tb  0.000  0.177  0.323
Tb  0.000  0.823  0.677
Zn  0.000  0.121  0.621
Zn  0.000  0.879  0.379
Zn  0.000  0.621  0.879
Zn  0.000  0.379  0.121
Ag  0.000  0.000  0.000
Ag  0.000  0.500  0.500
Pt  0.500  0.206  0.068
Pt  0.500  0.794  0.932
Pt  0.500  0.068  0.794
Pt  0.500  0.706  0.432
Pt  0.500  0.932  0.206
Pt  0.500  0.294  0.568
Pt  0.500  0.568  0.706
Pt  0.500  0.432  0.294
Pt  0.500  0.500  0.000
Pt  0.500  0.000  0.500

No. 3
A relaxed LiEuSnPd crystal, computed with PBE.

Computed properties:
Space group ... F-43m

Cell: 4.906 4.906 4.906 Å, 60.00 60.00 60.00°
Site moments in Bohr magnetons follow the coordinates.
Sites, in units of the cell vectors:
Eu  0.750  0.750  0.750  6.72
Sn  0.250  0.250  0.250  -0.03
Pd  0.500  0.500  0.500  -0.03
Li  0.000  0.000  0.000  0.01

No. 4
A relaxed Nd2SnBPd6 crystal, computed with PBE.

Computed properties:
Space group ... P-1

Cell: 5.797 7.436 7.432 Å, 46.17 66.47 89.73°
Sites, in units of the cell vectors:
Nd  0.693  0.252  0.559
Nd  0.307  0.748  0.441
Sn  0.000  0.000  0.000
B  0.500  0.500  0.000
Pd  0.229  0.189  0.467
Pd  0.709  0.717  0.008
Pd  0.230  0.698  0.957
Pd  0.770  0.302  0.043
Pd  0.291  0.283  0.992
Pd  0.771  0.811  0.533

No. 5
A relaxed Tb3Te5H crystal, computed with PBE.

Computed properties:
Space group ... C2/m

Cell: 8.409 8.409 9.215 Å, 75.89 75.89 74.07°
Sites, in units of the cell vectors:
Tb  0.668  0.668  0.837
Tb  0.738  0.738  0.401
Tb  0.000  0.000  0.000
Tb  0.000  0.000  0.500
Tb  0.332  0.332  0.163
Tb  0.262  0.262  0.599
Te  0.988  0.372  0.378
Te  0.303  0.697  0.000
Te  0.773  0.773  0.067
Te  0.505  0.505  0.347
Te  0.495  0.495  0.653
Te  0.227  0.227  0.933
Te  0.372  0.988  0.378
Te  0.697  0.303  0.000
Te  0.012  0.628  0.622
Te  0.628  0.012  0.622
H  0.071  0.071  0.712
H  0.929  0.929  0.288

No. 6
A relaxed BaPu2NpO8 crystal, computed with PBE.

Computed properties:
Space group ... Cmmm
E_form (uncorrected) ... -2882 meV per atom

Cell: 5.284 5.291 7.180 Å, 90.00 90.00 88.35°
Site moments in Bohr magnetons follow the coordinates.
Sites, in units of the cell vectors:
Ba  0.000  0.000  0.500  0.00
Pu  0.500  0.500  0.755  4.08
Pu  0.500  0.500  0.245  4.08
Np  0.000  0.000  0.000  1.75
O  0.195  0.806  0.200  -0.09
O  0.686  0.686  0.000  -0.15
O  0.805  0.194  0.200  -0.09
O  0.805  0.194  0.800  -0.09
O  0.314  0.314  0.000  -0.15
O  0.195  0.806  0.800  -0.09
O  0.661  0.660  0.500  -0.16
O  0.339  0.340  0.500  -0.16

No. 7
A relaxed Ac2In12Au7 crystal, computed with PBE.

Computed properties:
Space group ... P-6

Cell: 4.541 11.424 11.424 Å, 120.00 90.00 90.00°
Sites, in units of the cell vectors:
Ac  0.500  0.000  0.000
Ac  0.000  0.667  0.333
In  0.500  0.906  0.626
In  0.500  0.721  0.094
In  0.500  0.374  0.279
In  0.500  0.246  0.799
In  0.500  0.552  0.754
In  0.500  0.201  0.448
In  0.000  0.051  0.551
In  0.000  0.500  0.949
In  0.000  0.449  0.500
In  0.000  0.762  0.713
In  0.000  0.951  0.238
In  0.000  0.287  0.049
Au  0.000  0.333  0.667
Au  0.000  0.044  0.805
Au  0.000  0.761  0.956
Au  0.000  0.195  0.239
Au  0.500  0.625  0.533
Au  0.500  0.907  0.375
Au  0.500  0.467  0.093

No. 8
A relaxed Sm2CuNi3Ge4 crystal, computed with PBE.

Computed properties:
Space group ... P-4m2

Cell: 4.148 4.148 9.745 Å, 90.00 90.00 90.00°
Sites, in units of the cell vectors:
Sm  0.500  0.000  0.250
Sm  0.000  0.500  0.750
Cu  0.500  0.500  0.500
Ni  0.000  0.000  0.500
Ni  0.500  0.000  0.878
Ni  0.000  0.500  0.122
Ge  0.500  0.500  0.000
Ge  0.000  0.000  0.000
Ge  0.500  0.000  0.635
Ge  0.000  0.500  0.365

| no. | electronic total energy (eV per atom) | V (A^3/atom) |
| --- | --- | --- |
| 1 | -4.739 | 17.85 |
| 2 | -5.244 | 17.71 |
| 3 | -5.945 | 20.87 |
| 4 | -5.808 | 19.31 |
| 5 | -4.572 | 33.14 |
| 6 | -9.815 | 16.72 |
| 7 | -3.413 | 24.44 |
| 8 | -5.595 | 16.76 |